No. 1
Density functional theory data (PBE-GGA) for a relaxed Pm2NdSi6 crystal.

Results
- total moment (μB per cell) = 0.00
- raw total energy (eV per atom) = -5.7769
- crystal system = hexagonal
- energy relative to the elements, uncorrected (meV/atom) = -576.1

Structure (POSCAR):
```
Pm2NdSi6
1.0
4.134 0.000 0.000
0.000 6.198 -3.578
0.000 0.000 7.157
Pm Si Nd
2 6 1
direct
0.000 0.333 0.667
0.000 0.667 0.333
0.500 0.666 0.000
0.500 0.000 0.334
0.500 0.334 0.334
0.500 0.666 0.666
0.500 0.334 0.000
0.500 0.000 0.666
0.000 0.000 0.000
```

No. 2
Density functional theory data (PBE-GGA) for a relaxed Pm3Nd2Si4 crystal.

Results
- total moment (μB per cell) = 0.00
- raw total energy (eV per atom) = -5.5344
- crystal system = orthorhombic
- energy relative to the elements, uncorrected (meV/atom) = -481.1

Structure (POSCAR):
```
Pm3Nd2Si4
1.0
-6.791 1.552 0.080
-1.855 -8.029 -1.737
3.109 -2.444 7.977
Si Nd Pm
8 4 6
direct
0.313 0.442 0.625
0.813 0.058 0.625
0.687 0.558 0.375
0.722 0.750 0.943
0.778 0.250 0.057
0.222 0.750 0.943
0.187 0.942 0.375
0.278 0.250 0.057
0.394 0.093 0.788
0.606 0.907 0.212
0.106 0.593 0.212
0.894 0.407 0.788
0.455 0.250 0.411
0.045 0.750 0.589
0.000 0.000 0.000
0.955 0.250 0.411
0.500 0.500 0.000
0.545 0.750 0.589
```

No. 3
Density functional theory data (PBE-GGA) for a relaxed Pm2NdSi crystal.

Results
- total moment (μB per cell) = 0.00
- raw total energy (eV per atom) = -5.0807
- crystal system = trigonal
- energy relative to the elements, uncorrected (meV/atom) = -157.6

Structure (POSCAR):
```
Pm2NdSi
1.0
-3.465 1.718 -0.601
-2.978 -0.692 2.444
0.627 7.866 6.126
Nd Pm Si
1 2 1
direct
0.501 0.501 0.497
0.062 0.062 0.814
0.271 0.271 0.188
0.666 0.666 0.002
```

No. 4
Density functional theory data (PBE-GGA) for a relaxed PmNd2Si crystal.

Results
- total moment (μB per cell) = 0.00
- raw total energy (eV per atom) = -5.2835
- crystal system = orthorhombic
- energy relative to the elements, uncorrected (meV/atom) = -356.1

Structure (POSCAR):
```
PmNd2Si
1.0
-3.441 2.332 -0.011
-1.574 -6.043 -2.001
-1.711 -2.482 8.841
Nd Si Pm
4 2 2
direct
0.354 0.708 0.558
0.646 0.292 0.442
0.646 0.292 0.058
0.354 0.708 0.942
0.743 0.486 0.750
0.257 0.514 0.250
0.070 0.140 0.750
0.930 0.860 0.250
```

No. 5
Density functional theory data (PBE-GGA) for a relaxed PmNd2Si crystal.

Results
- total moment (μB per cell) = 0.01
- raw total energy (eV per atom) = -5.1405
- crystal system = tetragonal
- energy relative to the elements, uncorrected (meV/atom) = -213.1

Structure (POSCAR):
```
PmNd2Si
1.0
3.966 0.000 0.000
0.000 3.966 0.000
0.000 0.000 7.290
Pm Nd Si
1 2 1
direct
0.500 0.500 0.000
0.000 0.000 0.703
0.000 0.000 0.297
0.500 0.500 0.500
```

No. 6
Density functional theory data (PBE-GGA) for a relaxed PmNd3Si3 crystal.

Results
- total moment (μB per cell) = 0.00
- raw total energy (eV per atom) = -5.3963
- crystal system = monoclinic
- energy relative to the elements, uncorrected (meV/atom) = -350.2

Structure (POSCAR):
```
PmNd3Si3
1.0
7.601 0.163 0.272
-3.240 6.878 0.272
-0.381 -0.616 7.623
Pm Si Nd
2 6 6
direct
0.256 0.256 0.089
0.744 0.744 0.911
0.840 0.498 0.698
0.160 0.502 0.302
0.498 0.840 0.698
0.057 0.057 0.776
0.502 0.160 0.302
0.943 0.943 0.224
0.165 0.835 0.500
0.632 0.632 0.371
0.776 0.224 0.000
0.224 0.776 0.000
0.368 0.368 0.629
0.835 0.165 0.500
```

No. 7
Density functional theory data (PBE-GGA) for a relaxed Pm3NdSi crystal.

Results
- total moment (μB per cell) = 0.00
- raw total energy (eV per atom) = -5.0774
- crystal system = orthorhombic
- energy relative to the elements, uncorrected (meV/atom) = -188.9

Structure (POSCAR):
```
Pm3NdSi
1.0
6.687 0.000 0.000
0.000 9.338 0.000
0.000 0.000 9.939
Si Pm Nd
4 12 4
direct
0.500 0.000 0.500
0.000 0.500 0.500
0.500 0.000 0.000
0.000 0.500 0.000
0.256 0.007 0.750
0.877 0.184 0.557
0.877 0.184 0.943
0.744 0.993 0.250
0.123 0.816 0.057
0.623 0.684 0.057
0.377 0.316 0.557
0.244 0.507 0.250
0.756 0.493 0.750
0.623 0.684 0.443
0.123 0.816 0.443
0.377 0.316 0.943
0.760 0.372 0.250
0.740 0.872 0.750
0.240 0.628 0.750
0.260 0.128 0.250
```

No. 8
Density functional theory data (PBE-GGA) for a relaxed Pm6Nd2Si crystal.

Results
- total moment (μB per cell) = 0.01
- raw total energy (eV per atom) = -4.8045
- crystal system = hexagonal
- energy relative to the elements, uncorrected (meV/atom) = 24.6

Structure (POSCAR):
```
Pm6Nd2Si
1.0
-1.964 -1.694 -2.561
3.607 0.342 -0.398
3.489 -22.567 12.248
Si Pm Nd
1 6 2
direct
0.333 0.667 0.000
0.667 0.333 0.085
0.333 0.667 0.433
0.333 0.667 0.203
0.667 0.333 0.915
0.333 0.667 0.567
0.333 0.667 0.797
0.667 0.333 0.680
0.667 0.333 0.320
```

No. 9
Density functional theory data (PBE-GGA) for a relaxed PmNdTlSi crystal.

Results
- total moment (μB per cell) = 0.00
- raw total energy (eV per atom) = -4.6725
- crystal system = cubic
- energy relative to the elements, uncorrected (meV/atom) = -345.6

Structure (POSCAR):
```
PmNdTlSi
1.0
5.322 0.000 0.000
2.661 4.609 0.000
2.661 1.536 4.345
Pm Nd Si Tl
1 1 1 1
direct
0.250 0.250 0.250
0.750 0.750 0.750
0.500 0.500 0.500
0.000 0.000 0.000
```

No. 10
Density functional theory data (PBE-GGA) for a relaxed Pm2NdZn2Si2 crystal.

Results
- total moment (μB per cell) = 0.62
- raw total energy (eV per atom) = -4.4266
- crystal system = trigonal
- energy relative to the elements, uncorrected (meV/atom) = -474.7

Structure (POSCAR):
```
Pm2NdZn2Si2
1.0
-3.733 -0.581 -1.661
-1.991 -3.566 0.595
-6.819 2.947 9.165
Zn Si Nd Pm
2 2 1 2
direct
0.605 0.605 0.185
0.395 0.395 0.815
0.271 0.271 0.187
0.729 0.729 0.813
0.000 0.000 0.000
0.879 0.879 0.364
0.121 0.121 0.636
```

No. 11
Density functional theory data (PBE-GGA) for a relaxed PmNdZnSi crystal.

Results
- total moment (μB per cell) = 0.00
- raw total energy (eV per atom) = -4.4889
- crystal system = cubic
- energy relative to the elements, uncorrected (meV/atom) = -435.0

Structure (POSCAR):
```
PmNdZnSi
1.0
5.137 0.000 0.000
2.568 4.449 0.000
2.568 1.483 4.194
Zn Si Nd Pm
1 1 1 1
direct
0.250 0.250 0.250
0.750 0.750 0.750
0.500 0.500 0.500
0.000 0.000 0.000
```

No. 12
Density functional theory data (PBE-GGA) for a relaxed PmNdZnSi crystal.

Results
- total moment (μB per cell) = 0.19
- raw total energy (eV per atom) = -4.5743
- crystal system = orthorhombic
- energy relative to the elements, uncorrected (meV/atom) = -520.5

Structure (POSCAR):
```
PmNdZnSi
1.0
-2.076 1.595 -3.450
3.097 -1.259 -2.446
-1.519 -5.687 1.004
Nd Si Pm Zn
1 1 1 1
direct
0.142 0.000 0.283
0.569 0.500 0.138
0.856 0.500 0.712
0.433 0.000 0.867
```

No. 13
Density functional theory data (PBE-GGA) for a relaxed Pm7Nd4Sm crystal.

Results
- total moment (μB per cell) = 0.00
- raw total energy (eV per atom) = -4.7407
- crystal system = triclinic
- ΔH_f (0 K) (eV per formula unit) = 0.2

Structure (POSCAR):
```
Pm7Nd4Sm
1.0
7.061 1.877 0.913
5.271 7.795 2.510
-1.062 -0.452 9.063
Pm Nd Sm
7 4 1
direct
0.251 0.500 0.000
0.970 0.279 0.669
0.780 0.220 0.332
0.749 0.500 0.000
0.030 0.721 0.331
0.500 0.000 0.000
0.220 0.780 0.668
0.721 0.779 0.668
0.279 0.221 0.332
0.472 0.279 0.668
0.528 0.721 0.332
0.000 0.000 0.000
```

No. 14
Density functional theory data (PBE-GGA) for a relaxed Pm7Nd3Sm crystal.

Results
- total moment (μB per cell) = 0.00
- raw total energy (eV per atom) = -4.5831
- crystal system = trigonal
- ΔH_f (0 K) (eV per formula unit) = 1.9

Structure (POSCAR):
```
Pm7Nd3Sm
1.0
8.806 0.000 0.000
0.000 7.243 0.000
0.000 -3.622 6.273
Sm Pm Nd
1 7 3
direct
0.443 0.333 0.667
0.451 0.334 0.167
0.116 0.167 0.833
0.116 0.167 0.334
0.123 0.667 0.333
0.451 0.833 0.666
0.451 0.833 0.167
0.116 0.666 0.833
0.783 0.500 0.000
0.783 0.000 0.500
0.783 0.500 0.500
```

No. 15
Density functional theory data (PBE-GGA) for a relaxed Pm2Nd4Sm5 crystal.

Results
- total moment (μB per cell) = 0.00
- raw total energy (eV per atom) = -4.6086
- crystal system = monoclinic
- ΔH_f (0 K) (eV per formula unit) = 1.5

Structure (POSCAR):
```
Pm2Nd4Sm5
1.0
-3.049 1.607 0.672
-1.506 -5.685 6.759
7.420 7.653 6.191
Nd Sm Pm
4 5 2
direct
0.678 0.470 0.357
0.046 0.360 0.092
0.322 0.530 0.643
0.954 0.640 0.908
0.141 0.115 0.283
0.859 0.885 0.717
0.231 0.826 0.463
0.769 0.174 0.537
0.500 0.000 0.000
0.090 0.735 0.180
0.910 0.265 0.820
```

No. 16
Density functional theory data (PBE-GGA) for a relaxed Pm4Nd2Sm5 crystal.

Results
- total moment (μB per cell) = 0.00
- raw total energy (eV per atom) = -4.6049
- crystal system = monoclinic
- ΔH_f (0 K) (eV per formula unit) = 1.5

Structure (POSCAR):
```
Pm4Nd2Sm5
1.0
-2.295 1.851 1.894
1.009 -5.712 6.805
10.033 6.751 2.318
Nd Sm Pm
2 5 4
direct
0.090 0.735 0.181
0.910 0.265 0.819
0.768 0.174 0.537
0.859 0.883 0.717
0.141 0.117 0.283
0.500 0.000 0.000
0.232 0.826 0.463
0.954 0.640 0.908
0.678 0.471 0.357
0.322 0.529 0.643
0.046 0.360 0.092
```

No. 17
Density functional theory data (PBE-GGA) for a relaxed PmNd14Sm crystal.

Results
- total moment (μB per cell) = 0.00
- raw total energy (eV per atom) = -4.7642
- crystal system = orthorhombic
- ΔH_f (0 K) (eV per formula unit) = 0.0

Structure (POSCAR):
```
PmNd14Sm
1.0
7.335 -0.886 0.000
-2.897 6.797 0.000
0.000 0.000 11.892
Nd Sm Pm
14 1 1
direct
0.875 0.125 0.251
0.375 0.125 0.251
0.042 0.458 0.000
0.542 0.958 0.000
0.208 0.292 0.500
0.875 0.625 0.251
0.375 0.625 0.750
0.542 0.458 0.000
0.875 0.625 0.749
0.708 0.792 0.500
0.875 0.125 0.749
0.375 0.625 0.250
0.375 0.125 0.749
0.042 0.958 0.000
0.708 0.292 0.500
0.208 0.792 0.500
```

No. 18
Density functional theory data (PBE-GGA) for a relaxed Pm2NdSm8 crystal.

Results
- total moment (μB per cell) = 0.00
- raw total energy (eV per atom) = -4.7152
- crystal system = monoclinic
- ΔH_f (0 K) (eV per formula unit) = 0.2

Structure (POSCAR):
```
Pm2NdSm8
1.0
4.968 0.000 -1.323
-0.533 7.872 -2.002
-0.101 -0.085 9.611
Sm Nd Pm
8 1 2
direct
0.045 0.727 0.091
0.591 0.455 0.182
0.409 0.545 0.818
0.955 0.273 0.909
0.318 0.091 0.636
0.137 0.182 0.273
0.863 0.818 0.727
0.682 0.909 0.364
0.500 0.000 0.000
0.773 0.363 0.545
0.227 0.637 0.455
```

No. 19
Density functional theory data (PBE-GGA) for a relaxed Pm8Nd3Sm2 crystal.

Results
- total moment (μB per cell) = 0.00
- raw total energy (eV per atom) = -4.5977
- crystal system = monoclinic
- ΔH_f (0 K) (eV per formula unit) = 2.0

Structure (POSCAR):
```
Pm8Nd3Sm2
1.0
-2.483 2.821 -4.983
-0.665 -6.126 -6.453
-8.849 -1.023 0.515
Nd Pm Sm
3 8 2
direct
0.500 0.000 0.000
0.000 0.243 0.757
0.000 0.757 0.243
0.781 0.445 0.445
0.675 0.570 0.084
0.947 0.155 0.155
0.325 0.916 0.430
0.675 0.084 0.570
0.219 0.555 0.555
0.325 0.430 0.916
0.053 0.845 0.845
0.651 0.712 0.712
0.349 0.288 0.288
```

No. 20
Density functional theory data (PBE-GGA) for a relaxed PmNd2Sm4 crystal.

Results
- total moment (μB per cell) = 0.00
- raw total energy (eV per atom) = -4.7283
- crystal system = trigonal
- ΔH_f (0 K) (eV per formula unit) = 0.1

Structure (POSCAR):
```
PmNd2Sm4
1.0
-3.270 0.132 -1.606
-2.501 -2.545 0.746
-9.136 10.870 15.354
Nd Sm Pm
2 4 1
direct
0.571 0.571 0.286
0.429 0.429 0.714
0.286 0.286 0.142
0.857 0.857 0.429
0.143 0.143 0.571
0.714 0.714 0.858
0.000 0.000 0.000
```

No. 21
Density functional theory data (PBE-GGA) for a relaxed Pm5Nd3Sm3 crystal.

Results
- total moment (μB per cell) = 0.00
- raw total energy (eV per atom) = -4.0223
- crystal system = hexagonal
- ΔH_f (0 K) (eV per formula unit) = 8.0

Structure (POSCAR):
```
Pm5Nd3Sm3
1.0
-2.483 -2.861 4.103
-7.594 -1.875 -5.903
7.609 -6.168 0.305
Pm Sm Nd
5 3 3
direct
0.500 0.366 0.000
0.500 0.000 0.366
0.500 0.333 0.667
0.500 0.667 0.333
0.500 0.634 0.634
0.500 0.731 0.000
0.500 0.000 0.731
0.500 0.269 0.269
0.000 0.424 0.424
0.000 0.576 0.000
0.000 0.000 0.576
```

No. 22
Density functional theory data (PBE-GGA) for a relaxed Pm3Nd3Sm4 crystal.

Results
- total moment (μB per cell) = 0.00
- raw total energy (eV per atom) = -4.6424
- crystal system = orthorhombic
- ΔH_f (0 K) (eV per formula unit) = 1.0

Structure (POSCAR):
```
Pm3Nd3Sm4
1.0
-0.265 1.394 -3.506
-3.498 -8.427 -3.088
-8.948 3.032 1.881
Sm Nd Pm
4 3 3
direct
0.000 0.627 0.373
0.000 0.373 0.627
0.000 0.874 0.873
0.000 0.127 0.126
0.500 0.672 0.673
0.500 0.327 0.328
0.500 0.828 0.172
0.500 0.173 0.827
0.000 0.000 0.501
0.000 0.499 0.000
```